Record 1
Below is crystalline Dy2ErTmSe4 at its relaxed geometry, with properties calculated at the GGA-PBE level.

```
Dy2ErTmSe4
1.0
7.013 0.000 0.000
0.000 3.996 0.000
-2.282 0.000 6.705
Dy Er Tm Se
2 1 1 4
direct
0.000 0.000 0.000
0.500 0.500 0.000
0.000 0.500 0.500
0.500 0.000 0.500
0.249 0.000 0.745
0.253 0.500 0.255
0.747 0.500 0.745
0.751 0.000 0.255
```

## Properties
Crystal system ... monoclinic
Density ... 8.6 g/cm³
Formation energy from raw total energies ... -1.711 eV per atom
Energy ... -5.73 eV per atom

=====

Record 2
Below is crystalline Dy3Er3TmSe8 at its relaxed geometry, with properties calculated at the GGA-PBE level.

```
Dy3Er3TmSe8
1.0
4.038 2.331 6.606
-4.038 2.331 6.606
0.000 -4.663 6.606
Dy Er Tm Se
3 3 1 8
direct
0.000 0.500 0.500
0.500 0.000 0.500
0.500 0.500 0.000
0.000 0.000 0.500
0.000 0.500 0.000
0.500 0.000 0.000
0.500 0.500 0.500
0.246 0.752 0.752
0.248 0.248 0.754
0.248 0.754 0.248
0.249 0.249 0.249
0.751 0.751 0.751
0.752 0.246 0.752
0.752 0.752 0.246
0.754 0.248 0.248
```

## Properties
Crystal system ... trigonal
Density ... 8.0 g/cm³
Formation energy from raw total energies ... -1.809 eV per atom
Energy ... -5.80 eV per atom

=====

Record 3
Below is crystalline Dy4Y3ErSe8 at its relaxed geometry, with properties calculated at the GGA-PBE level.

```
Dy4Y3ErSe8
1.0
4.075 2.353 6.658
-4.075 2.353 6.658
0.000 -4.705 6.658
Dy Y Er Se
4 3 1 8
direct
0.000 0.000 0.000
0.000 0.500 0.500
0.500 0.000 0.500
0.500 0.500 0.000
0.000 0.000 0.500
0.000 0.500 0.000
0.500 0.000 0.000
0.500 0.500 0.500
0.250 0.250 0.250
0.252 0.252 0.748
0.252 0.748 0.252
0.252 0.748 0.748
0.748 0.252 0.252
0.748 0.252 0.748
0.748 0.748 0.252
0.750 0.750 0.750
```

## Properties
Crystal system ... trigonal
Density ... 7.4 g/cm³
Formation energy from raw total energies ... -1.744 eV per atom
Energy ... -6.13 eV per atom

=====

Record 4
Below is crystalline Dy4YEr3Se8 at its relaxed geometry, with properties calculated at the GGA-PBE level.

```
Dy4YEr3Se8
1.0
4.061 2.344 6.641
-4.061 2.344 6.641
0.000 -4.689 6.641
Dy Y Er Se
4 1 3 8
direct
0.000 0.000 0.000
0.000 0.500 0.500
0.500 0.000 0.500
0.500 0.500 0.000
0.500 0.500 0.500
0.000 0.000 0.500
0.000 0.500 0.000
0.500 0.000 0.000
0.247 0.750 0.750
0.249 0.249 0.249
0.250 0.250 0.753
0.250 0.753 0.250
0.750 0.247 0.750
0.750 0.750 0.247
0.751 0.751 0.751
0.753 0.250 0.250
```

## Properties
Crystal system ... trigonal
Density ... 8.2 g/cm³
Formation energy from raw total energies ... -1.725 eV per atom
Energy ... -5.88 eV per atom

=====

Record 5
Below is crystalline Dy2YErSe5 at its relaxed geometry, with properties calculated at the GGA-PBE level.

```
Dy2YErSe5
1.0
5.110 0.000 0.000
0.000 5.110 0.000
0.000 0.000 10.689
Dy Y Er Se
2 1 1 5
direct
0.000 0.000 0.161
0.000 0.000 0.839
0.500 0.500 0.500
0.500 0.500 0.000
0.000 0.000 0.500
0.000 0.500 0.000
0.500 0.000 0.000
0.500 0.500 0.253
0.500 0.500 0.747
```

## Properties
Crystal system ... tetragonal
Density ... 5.8 g/cm³
Formation energy from raw total energies ... -1.133 eV per atom
Energy ... -5.32 eV per atom

=====

Record 6
Below is crystalline DyY2ErSe4 at its relaxed geometry, with properties calculated at the GGA-PBE level.

```
DyY2ErSe4
1.0
7.075 0.000 0.000
0.000 4.025 0.000
-2.294 0.000 6.702
Dy Y Er Se
1 2 1 4
direct
0.000 0.000 0.000
0.500 0.000 0.500
0.500 0.500 0.000
0.000 0.500 0.500
0.246 0.000 0.747
0.248 0.500 0.251
0.752 0.500 0.749
0.754 0.000 0.253
```

## Properties
Crystal system ... monoclinic
Density ... 7.2 g/cm³
Formation energy from raw total energies ... -1.741 eV per atom
Energy ... -6.24 eV per atom

=====

Which of these has the highest formation energy from raw total energies? Dy2YErSe5